[1]
Computed, not measured: a relaxed structure of MnTc2Sb4 at the PBE level of DFT.

Computed properties:
The space group is Cc. Its uncorrected formation energy is 0.029 eV/atom.

a b c (Å): 6.8959 6.8959 7.9141
angles (deg): 104.00 104.00 116.41
Closest atoms and distances in Å follow each position.
Atoms (fractional coordinates):
Mn 0.2536 0.5033 0.4994  6 Sb 2.59-2.88, 2 Tc 2.86
Mn 0.5033 0.2536 0.9994  6 Sb 2.59-2.88, 2 Tc 2.86
Tc 0.4950 0.2566 0.4995  6 Sb 2.66-2.74, 1 Mn 2.86
Tc 0.7462 0.0078 0.0016  6 Sb 2.66-2.74, 1 Mn 2.86
Tc 0.0078 0.7462 0.5016  6 Sb 2.66-2.74, 1 Mn 2.86
Tc 0.2566 0.4950 0.9995  6 Sb 2.66-2.74, 1 Mn 2.86
Sb 0.7889 0.3154 0.8280  1 Mn 2.59, 3 Tc 2.69-2.74
Sb 0.3154 0.7889 0.3280  1 Mn 2.59, 3 Tc 2.69-2.74
Sb 0.2668 0.7935 0.8372  2 Mn 2.61-2.88, 3 Tc 2.66-2.73
Sb 0.7935 0.2668 0.3372  2 Mn 2.61-2.88, 3 Tc 2.66-2.73
Sb 0.1790 0.2069 0.6630  2 Mn 2.60-2.87, 3 Tc 2.66-2.73
Sb 0.7377 0.7109 0.1728  1 Mn 2.60, 3 Tc 2.69-2.74
Sb 0.7109 0.7377 0.6728  1 Mn 2.60, 3 Tc 2.69-2.74
Sb 0.2069 0.1790 0.1630  2 Mn 2.60-2.87, 3 Tc 2.66-2.73

---

[2]
Computed, not measured: a relaxed structure of MnTc2Sb at the PBE level of DFT.

Computed properties:
The space group is P4/mmm. Its uncorrected formation energy is 0.147 eV/atom.

a b c (Å): 3.1604 3.1604 6.1872
angles (deg): 90.00 90.00 89.99
Closest atoms and distances in Å follow each position.
Atoms (fractional coordinates):
Mn 0.5000 0.5000 0.2500  8 Tc 2.68
Sb 0.5000 0.5000 0.7500  8 Tc 2.76
Tc 0.0000 0.0000 0.0113  4 Mn 2.68, 4 Sb 2.76, 1 Tc 2.95
Tc 0.0000 0.0000 0.4887  4 Mn 2.68, 4 Sb 2.76, 1 Tc 2.95

---

[3]
Computed, not measured: a relaxed structure of MnTc2Sb at the PBE level of DFT.

Computed properties:
The space group is Cm. Its uncorrected formation energy is 0.153 eV/atom.

a b c (Å): 4.9793 4.9793 4.4860
angles (deg): 70.71 70.71 36.59
Closest atoms and distances in Å follow each position.
Atoms (fractional coordinates):
Mn 0.4967 0.4967 0.5558  7 Tc 2.63-2.82, 2 Sb 2.79
Sb 0.2451 0.2451 0.2192  7 Tc 2.69-2.79, 2 Mn 2.79
Tc 0.9998 0.9998 0.0294  4 Mn 2.65-2.82, 3 Sb 2.73-2.75, 2 Tc 2.85
Tc 0.7585 0.7585 0.6955  3 Mn 2.63-2.76, 4 Sb 2.69-2.79, 2 Tc 2.85

---

[4]
Computed, not measured: a relaxed structure of Mn3TcSb at the PBE level of DFT.

Computed properties:
The space group is Pm-3m. For the energy above the most stable polymorph in this dataset, the calculation gives 0.00 eV/f.u. Its uncorrected formation energy is 1.029 eV/atom.

a b c (Å): 4.6377 4.6377 4.6377
angles (deg): 90.00 90.00 90.00
Closest atoms and distances in Å follow each position.
Atoms (fractional coordinates):
Sb 0.5000 0.5000 0.5000  12 Mn 3.28
Mn 0.0000 0.5000 0.0000  2 Tc 2.32
Mn 0.0000 0.0000 0.5000  2 Tc 2.32
Mn 0.5000 0.0000 0.0000  2 Tc 2.32
Tc 0.0000 0.0000 0.0000  6 Mn 2.32

---

[5]
Computed, not measured: a relaxed structure of MnTcSb2Te at the PBE level of DFT.

Computed properties:
The space group is P4/mmm. For the energy above the most stable polymorph in this dataset, the calculation gives 2.66 eV/f.u. Its uncorrected formation energy is 1.555 eV/atom.

a b c (Å): 5.7886 4.8134 5.7886
angles (deg): 90.00 90.00 90.00
Closest atoms and distances in Å follow each position.
Atoms (fractional coordinates):
Sb 0.0000 0.0000 0.5000  2 Te 2.89
Sb 0.5000 0.0000 0.0000  2 Te 2.89
Te 0.0000 0.0000 0.0000  2 Mn 2.41
Tc 0.5000 0.5000 0.5000  8 Sb 3.76, 4 Mn 4.09
Mn 0.0000 0.5000 0.0000  2 Te 2.41

---

[6]
Computed, not measured: a relaxed structure of MnTcSb2Te at the PBE level of DFT.

Computed properties:
The space group is P4/mmm. For the energy above the most stable polymorph in this dataset, the calculation gives 0.00 eV/f.u. Its uncorrected formation energy is 1.023 eV/atom.

a b c (Å): 4.9906 4.9906 5.2860
angles (deg): 90.00 90.00 90.00
Closest atoms and distances in Å follow each position.
Atoms (fractional coordinates):
Sb 0.0000 0.5000 0.0000  2 Mn 2.50
Sb 0.5000 0.0000 0.0000  2 Mn 2.50
Te 0.0000 0.0000 0.5000  2 Mn 2.64
Tc 0.5000 0.5000 0.5000  4 Te 3.53, 8 Sb 3.63
Mn 0.0000 0.0000 0.0000  4 Sb 2.50, 2 Te 2.64

---

[7]
Computed, not measured: a relaxed structure of MnTcSbTe2 at the PBE level of DFT.

Computed properties:
The space group is P4/mmm. For the energy above the most stable polymorph in this dataset, the calculation gives 0.00 eV/f.u. Its uncorrected formation energy is 0.770 eV/atom.

a b c (Å): 5.3495 5.3495 5.0558
angles (deg): 90.00 90.00 90.00
Closest atoms and distances in Å follow each position.
Atoms (fractional coordinates):
Sb 0.0000 0.0000 0.5000  2 Tc 2.53
Te 0.0000 0.5000 0.0000  2 Tc 2.67
Te 0.5000 0.0000 0.0000  2 Tc 2.67
Tc 0.0000 0.0000 0.0000  2 Sb 2.53, 4 Te 2.67
Mn 0.5000 0.5000 0.5000  8 Te 3.68, 4 Sb 3.78

---

[8]
Computed, not measured: a relaxed structure of TiMnTcSb at the PBE level of DFT.

Computed properties:
The space group is F-43m. Its uncorrected formation energy is -0.246 eV/atom.

a b c (Å): 4.4046 4.4046 4.4046
angles (deg): 60.00 60.00 60.00
Closest atoms and distances in Å follow each position.
Atoms (fractional coordinates):
Sb 0.7500 0.7500 0.7500  4 Mn 2.70, 4 Tc 2.70
Mn 0.5000 0.5000 0.5000  4 Sb 2.70, 4 Ti 2.70
Tc 0.0000 0.0000 0.0000  4 Ti 2.70, 4 Sb 2.70
Ti 0.2500 0.2500 0.2500  4 Mn 2.70, 4 Tc 2.70

---

[9]
Computed, not measured: a relaxed structure of UMnTcSb at the PBE level of DFT.

Computed properties:
The space group is F-43m. Its uncorrected formation energy is 0.041 eV/atom.

a b c (Å): 4.6384 4.6384 4.6384
angles (deg): 60.00 60.00 60.00
Closest atoms and distances in Å follow each position.
Atoms (fractional coordinates):
Sb 0.0000 0.0000 0.0000  4 Mn 2.84, 4 Tc 2.84
Mn 0.2500 0.2500 0.2500  4 Sb 2.84, 4 U 2.84
U 0.5000 0.5000 0.5000  4 Mn 2.84, 4 Tc 2.84
Tc 0.7500 0.7500 0.7500  4 Sb 2.84, 4 U 2.84

---

[10]
Computed, not measured: a relaxed structure of Mn2VTcSb at the PBE level of DFT.

Computed properties:
The space group is P4/mmm. Its uncorrected formation energy is 0.941 eV/atom.

a b c (Å): 4.7613 4.4708 4.7613
angles (deg): 90.00 90.00 90.00
Closest atoms and distances in Å follow each position.
Atoms (fractional coordinates):
Sb 0.5000 0.5000 0.5000  8 Mn 3.27, 4 V 3.37
Mn 0.0000 0.0000 0.5000  2 Tc 2.38
Mn 0.5000 0.0000 0.0000  2 Tc 2.38
Tc 0.0000 0.0000 0.0000  2 V 2.24, 4 Mn 2.38
V 0.0000 0.5000 0.0000  2 Tc 2.24

---

[11]
Computed, not measured: a relaxed structure of MnVTcSb at the PBE level of DFT.

Computed properties:
The space group is F-43m. Its uncorrected formation energy is -0.037 eV/atom.

a b c (Å): 4.3428 4.3428 4.3428
angles (deg): 60.00 60.00 60.00
Closest atoms and distances in Å follow each position.
Atoms (fractional coordinates):
Sb 0.7500 0.7500 0.7500  4 Mn 2.66, 4 Tc 2.66
Mn 0.0000 0.0000 0.0000  4 Sb 2.66, 4 V 2.66
Tc 0.5000 0.5000 0.5000  4 V 2.66, 4 Sb 2.66
V 0.2500 0.2500 0.2500  4 Mn 2.66, 4 Tc 2.66

---

[12]
Computed, not measured: a relaxed structure of ZrMnTcSb at the PBE level of DFT.

Computed properties:
The space group is F-43m. Its uncorrected formation energy is -0.173 eV/atom.

a b c (Å): 4.5396 4.5396 4.5396
angles (deg): 60.00 60.00 60.00
Closest atoms and distances in Å follow each position.
Atoms (fractional coordinates):
Sb 0.2500 0.2500 0.2500  4 Mn 2.78, 4 Tc 2.78
Mn 0.0000 0.0000 0.0000  4 Sb 2.78, 4 Zr 2.78
Tc 0.5000 0.5000 0.5000  4 Zr 2.78, 4 Sb 2.78
Zr 0.7500 0.7500 0.7500  4 Mn 2.78, 4 Tc 2.78